# 1
Tl3Ga2O4F2: relaxed, PBE.

Structure (extended XYZ):
```
11
Lattice="-1.963 1.963 11.570 1.963 -1.963 11.570 1.963 1.963 -11.570" Properties=species:S:1:pos:R:3 pbc="T T T"
Tl 0.000 0.000 0.000
Tl 0.000 0.000 4.020
Tl 0.000 0.000 19.119
Ga 0.000 0.000 9.535
Ga 0.000 0.000 13.604
O 1.963 0.000 1.714
O 1.963 0.000 9.856
O 0.000 1.963 1.714
O 0.000 1.963 9.856
F 0.000 0.000 7.595
F 0.000 0.000 15.544
```

Results
* E_form (uncorrected): -14.88 eV per formula unit
* volume: 178.3 Å³ per cell
* DOS at the Fermi energy: 3.3 states/eV per cell
* theoretical density: 7.96 g/cm³
* space-group type: I4/mmm

# 2
NaTmLuIn: relaxed, PBE.

Structure (extended XYZ):
```
4
Lattice="0.000 3.757 3.757 3.757 0.000 3.757 3.757 3.757 0.000" Properties=species:S:1:pos:R:3 pbc="T T T"
Na 0.000 0.000 0.000
Tm 1.879 1.879 1.879
Lu 5.636 5.636 5.636
In 3.757 3.757 3.757
```

Results
* DFT formation energy: -0.072 eV per atom
* volume: 106.1 Å³ per cell
* DOS at the Fermi energy: 2.8 states/eV per cell
* theoretical density: 7.54 g/cm³
* space-group type: F-43m

# 3
Li3ZnF4: relaxed, PBE.

Structure (extended XYZ):
```
8
Lattice="4.618 0.000 0.000 0.000 4.618 0.000 0.000 0.000 4.618" Properties=species:S:1:pos:R:3 pbc="T T T"
Li 0.000 0.000 2.309
Li 0.000 2.309 0.000
Li 2.309 0.000 0.000
Zn 2.309 2.309 2.309
F 1.064 1.064 3.554
F 1.064 3.554 1.064
F 3.554 1.064 1.064
F 3.554 3.554 3.554
```

Results
* E_form (uncorrected): -19.26 eV per formula unit
* volume: 98.5 Å³ per cell
* DOS at the Fermi energy: 2.3 states/eV per cell
* theoretical density: 2.74 g/cm³
* space-group type: P-43m

# 4
Zr2NbCr: relaxed, PBE.

Structure (extended XYZ):
```
4
Lattice="0.000 3.385 3.385 3.385 0.000 3.385 3.385 3.385 0.000" Properties=species:S:1:pos:R:3 pbc="T T T"
Zr 1.693 1.693 1.693
Zr 5.078 5.078 5.078
Nb 0.000 0.000 0.000
Cr 3.385 3.385 3.385
```

Results
* DFT formation energy: 0.196 eV per atom
* volume: 77.6 Å³ per cell
* DOS at the Fermi energy: 7.1 states/eV per cell
* theoretical density: 7.01 g/cm³
* space-group type: Fm-3m

# 5
AlIn2Cl: relaxed, PBE.

Structure (extended XYZ):
```
4
Lattice="3.486 0.000 0.000 0.000 3.486 0.000 0.000 0.000 8.021" Properties=species:S:1:pos:R:3 pbc="T T T"
Al 0.000 0.000 0.000
In 1.743 1.743 1.864
In 1.743 1.743 6.157
Cl 0.000 0.000 4.010
```

Results
* E_form (uncorrected): -0.43 eV per formula unit
* volume: 97.5 Å³ per cell
* DOS at the Fermi energy: 2.9 states/eV per cell
* theoretical density: 4.98 g/cm³
* space-group type: P4/mmm

# 6
ScNb3Cu: relaxed, PBE.

Structure (extended XYZ):
```
5
Lattice="4.724 0.000 0.000 0.000 4.724 0.000 0.000 0.000 4.724" Properties=species:S:1:pos:R:3 pbc="T T T"
Sc 0.000 0.000 0.000
Nb 0.000 0.000 2.362
Nb 0.000 2.362 0.000
Nb 2.362 0.000 0.000
Cu 2.362 2.362 2.362
```

Results
* DFT formation energy: 1.785 eV per atom
* volume: 105.4 Å³ per cell
* DOS at the Fermi energy: 8.7 states/eV per cell
* theoretical density: 6.10 g/cm³
* space-group type: Pm-3m

# 7
TiOs3Cl: relaxed, PBE.

Structure (extended XYZ):
```
5
Lattice="4.344 0.000 0.000 0.000 4.344 0.000 0.000 0.000 4.344" Properties=species:S:1:pos:R:3 pbc="T T T"
Ti 0.000 0.000 0.000
Os 0.000 2.172 2.172
Os 2.172 0.000 2.172
Os 2.172 2.172 0.000
Cl 2.172 2.172 2.172
```

Results
* E_form (uncorrected): 7.56 eV per formula unit
* volume: 82.0 Å³ per cell
* DOS at the Fermi energy: 5.1 states/eV per cell
* theoretical density: 13.25 g/cm³
* space-group type: Pm-3m

# 8
SbIr2Br: relaxed, PBE.

Structure (extended XYZ):
```
4
Lattice="1.564 0.903 9.992 -1.564 0.903 9.992 0.000 -1.806 9.992" Properties=species:S:1:pos:R:3 pbc="T T T"
Sb 0.000 0.000 0.000
Ir 0.000 0.000 14.096
Ir 0.000 0.000 22.140
Br 0.000 0.000 6.107
```

Results
* E_form (uncorrected): 2.05 eV per formula unit
* volume: 84.7 Å³ per cell
* DOS at the Fermi energy: 6.1 states/eV per cell
* theoretical density: 11.49 g/cm³
* space-group type: R3m

# 9
GaSb2TeI: relaxed, PBE.

Structure (extended XYZ):
```
5
Lattice="5.800 0.000 0.000 0.000 5.800 0.000 0.000 0.000 6.217" Properties=species:S:1:pos:R:3 pbc="T T T"
Ga 0.000 0.000 0.000
Sb 0.000 2.900 3.108
Sb 2.900 0.000 3.108
Te 2.900 2.900 3.108
I 2.900 2.900 0.000
```

Results
* E_form (uncorrected): 3.20 eV per formula unit
* volume: 209.1 Å³ per cell
* DOS at the Fermi energy: 4.7 states/eV per cell
* theoretical density: 4.51 g/cm³
* space-group type: P4/mmm

# 10
K2ZnRe: relaxed, PBE.

Structure (extended XYZ):
```
4
Lattice="4.024 0.000 0.000 0.000 4.024 0.000 0.000 0.000 5.643" Properties=species:S:1:pos:R:3 pbc="T T T"
K 0.000 2.012 0.000
K 2.012 0.000 0.000
Zn 0.000 0.000 2.822
Re 2.012 2.012 2.822
```

Results
* DFT formation energy: 1.349 eV per atom
* volume: 91.4 Å³ per cell
* DOS at the Fermi energy: 0.9 states/eV per cell
* theoretical density: 5.99 g/cm³
* space-group type: P4/mmm

# 11
ZrTiNb14: relaxed, PBE.

Structure (extended XYZ):
```
16
Lattice="3.312 -4.762 0.000 3.312 4.762 0.000 0.000 0.000 9.344" Properties=species:S:1:pos:R:3 pbc="T T T"
Zr 0.000 0.000 0.000
Ti 3.312 0.000 0.000
Nb 0.000 0.000 4.672
Nb 1.656 2.381 0.000
Nb 1.656 2.381 4.672
Nb 3.312 2.367 2.310
Nb 3.312 2.367 7.034
Nb 1.674 0.000 2.416
Nb 1.674 0.000 6.928
Nb 1.656 -2.381 0.000
Nb 1.656 -2.381 4.672
Nb 3.312 0.000 4.672
Nb 4.950 0.000 2.416
Nb 4.950 0.000 6.928
Nb 3.312 -2.367 2.310
Nb 3.312 -2.367 7.034
```

Results
* DFT formation energy: 0.013 eV per atom
* volume: 294.7 Å³ per cell
* DOS at the Fermi energy: 29.3 states/eV per cell
* theoretical density: 8.11 g/cm³
* space-group type: Cmmm

# 12
Cr2TcSnSe: relaxed, PBE.

Structure (extended XYZ):
```
5
Lattice="4.816 0.000 0.000 0.000 4.816 0.000 0.000 0.000 4.726" Properties=species:S:1:pos:R:3 pbc="T T T"
Cr 0.000 2.408 0.000
Cr 2.408 0.000 0.000
Tc 0.000 0.000 0.000
Sn 2.408 2.408 2.363
Se 0.000 0.000 2.363
```

Results
* E_form (uncorrected): 3.93 eV per formula unit
* volume: 109.6 Å³ per cell
* DOS at the Fermi energy: 3.2 states/eV per cell
* theoretical density: 6.05 g/cm³
* space-group type: P4/mmm

# 13
Ca2Ag5F12: relaxed, PBE.

Structure (extended XYZ):
```
19
Lattice="6.108 -3.476 0.000 6.108 3.476 0.000 -2.448 0.000 7.306" Properties=species:S:1:pos:R:3 pbc="T T T"
Ca 6.108 1.748 0.000
Ca 6.108 -1.748 0.000
Ag -1.224 0.000 3.653
Ag 3.104 0.000 0.293
Ag 2.377 0.000 4.251
Ag 7.392 0.000 3.055
Ag 6.664 0.000 7.013
F -1.498 0.000 6.249
F 1.609 1.603 6.291
F 3.358 2.087 3.730
F 6.410 2.087 3.576
F 8.160 1.603 1.015
F 5.525 0.000 1.315
F 4.243 0.000 5.991
F 1.609 -1.603 6.291
F 3.358 -2.087 3.730
F 6.410 -2.087 3.576
F 8.160 -1.603 1.015
F 11.266 0.000 1.057
```

Results
* E_form (uncorrected): -36.56 eV per formula unit
* volume: 310.2 Å³ per cell
* DOS at the Fermi energy: 10.0 states/eV per cell
* theoretical density: 4.54 g/cm³
* space-group type: C2/m

# 14
Na4Dy3HoSe8: relaxed, PBE.

Structure (extended XYZ):
```
16
Lattice="4.141 2.391 7.008 -4.141 2.391 7.008 0.000 -4.782 7.008" Properties=species:S:1:pos:R:3 pbc="T T T"
Na 0.000 0.000 0.000
Na -2.071 -1.195 7.008
Na -2.071 1.195 14.015
Na 0.000 2.391 7.008
Dy -4.141 0.000 10.512
Dy -2.071 1.195 3.504
Dy 2.071 1.195 3.504
Ho 0.000 0.000 10.512
Se 0.000 0.000 5.112
Se -2.064 -1.192 12.116
Se 0.000 -2.384 8.907
Se -2.064 1.192 8.907
Se 2.064 -1.192 12.116
Se 0.000 2.384 12.116
Se 2.064 1.192 8.907
Se 0.000 0.000 15.911
```

Results
* E_form (uncorrected): -27.32 eV per formula unit
* volume: 416.3 Å³ per cell
* DOS at the Fermi energy: 0.0 states/eV per cell
* theoretical density: 5.49 g/cm³
* space-group type: R-3m

# 15
KNaPd2W: relaxed, PBE.

Structure (extended XYZ):
```
5
Lattice="4.870 0.000 0.000 0.000 4.870 0.000 0.000 0.000 5.685" Properties=species:S:1:pos:R:3 pbc="T T T"
K 0.000 0.000 0.000
Na 2.435 2.435 0.000
Pd 0.000 2.435 2.843
Pd 2.435 0.000 2.843
W 2.435 2.435 2.843
```

Results
* DFT formation energy: 0.895 eV per atom
* volume: 134.8 Å³ per cell
* DOS at the Fermi energy: 4.5 states/eV per cell
* theoretical density: 5.65 g/cm³
* space-group type: P4/mmm

# 16
TbDy4Os2: relaxed, PBE.

Structure (extended XYZ):
```
14
Lattice="7.808 0.000 0.000 0.000 6.302 0.000 -3.004 0.000 7.325" Properties=species:S:1:pos:R:3 pbc="T T T"
Tb -0.268 1.576 1.172
Tb 5.072 4.727 6.153
Dy 0.128 3.160 4.259
Dy 0.128 6.294 4.259
Dy 1.790 4.727 1.828
Dy 2.900 1.576 0.148
Dy 1.904 4.727 7.177
Dy 3.014 1.576 5.497
Dy 4.676 0.009 3.066
Dy 4.676 3.142 3.066
Os -2.044 1.576 5.453
Os 2.098 1.576 2.754
Os 2.706 4.727 4.571
Os 6.848 4.727 1.872
```

Results
* DFT formation energy: -0.168 eV per atom
* volume: 360.4 Å³ per cell
* DOS at the Fermi energy: 12.5 states/eV per cell
* theoretical density: 10.96 g/cm³
* space-group type: P2_1/m

# 17
BaLi6: relaxed, PBE.

Structure (extended XYZ):
```
7
Lattice="-3.751 3.751 3.751 3.751 -3.751 3.751 3.751 3.751 -3.751" Properties=species:S:1:pos:R:3 pbc="T T T"
Ba 0.000 0.000 0.000
Li 3.751 1.876 0.000
Li 3.751 0.000 1.876
Li 1.876 3.751 0.000
Li 1.876 0.000 3.751
Li 0.000 3.751 1.876
Li 0.000 1.876 3.751
```

Results
* DFT formation energy: 0.213 eV per atom
* volume: 211.1 Å³ per cell
* DOS at the Fermi energy: 6.2 states/eV per cell
* theoretical density: 1.41 g/cm³
* space-group type: Im-3m

# 18
VFe2Mo: relaxed, PBE.

Structure (extended XYZ):
```
8
Lattice="-1.745 1.745 9.236 1.745 -1.745 9.236 1.745 1.745 -9.236" Properties=species:S:1:pos:R:3 pbc="T T T"
V 0.000 0.000 0.000
V 0.000 1.745 4.618
Fe 2.618 0.847 -2.309
Fe 0.847 0.873 2.309
Fe -0.873 0.898 6.927
Fe 0.898 0.873 11.545
Mo 1.745 0.000 4.618
Mo 0.000 0.000 9.236
```

Results
* DFT formation energy: 0.586 eV per atom
* volume: 112.5 Å³ per cell
* DOS at the Fermi energy: 9.4 states/eV per cell
* theoretical density: 7.63 g/cm³
* space-group type: I-42d

# 19
BaGaI2O: relaxed, PBE.

Structure (extended XYZ):
```
5
Lattice="6.201 0.000 0.000 0.000 6.201 0.000 0.000 0.000 3.893" Properties=species:S:1:pos:R:3 pbc="T T T"
Ba 0.000 0.000 0.000
Ga 3.101 3.101 1.947
I 0.000 3.101 1.947
I 3.101 0.000 1.947
O 3.101 3.101 0.000
```

Results
* E_form (uncorrected): -5.54 eV per formula unit
* volume: 149.7 Å³ per cell
* DOS at the Fermi energy: 1.4 states/eV per cell
* theoretical density: 5.29 g/cm³
* space-group type: P4/mmm

# 20
LiAg4Ir: relaxed, PBE.

Structure (extended XYZ):
```
6
Lattice="0.000 3.790 3.790 3.790 0.000 3.790 3.790 3.790 0.000" Properties=species:S:1:pos:R:3 pbc="T T T"
Li 0.000 0.000 0.000
Ag 2.843 2.843 2.843
Ag 4.736 4.736 2.843
Ag 4.736 2.843 4.736
Ag 2.843 4.736 4.736
Ir 5.684 5.684 5.684
```

Results
* DFT formation energy: 0.389 eV per atom
* volume: 108.8 Å³ per cell
* DOS at the Fermi energy: 2.0 states/eV per cell
* theoretical density: 9.62 g/cm³
* space-group type: F-43m

# 21
CaPr2Au: relaxed, PBE.

Structure (extended XYZ):
```
8
Lattice="2.390 -6.050 0.000 2.390 6.050 0.000 0.000 0.000 8.842" Properties=species:S:1:pos:R:3 pbc="T T T"
Ca 2.390 5.384 6.631
Ca 2.390 -5.384 2.210
Pr 2.390 1.734 4.809
Pr 2.390 1.734 8.454
Pr 2.390 -1.734 0.388
Pr 2.390 -1.734 4.033
Au 2.390 3.357 2.210
Au 2.390 -3.357 6.631
```

Results
* DFT formation energy: -0.364 eV per atom
* volume: 255.8 Å³ per cell
* DOS at the Fermi energy: 8.7 states/eV per cell
* theoretical density: 6.74 g/cm³
* space-group type: Cmcm

# 22
Pr6P2PdBr3: relaxed, PBE.

Structure (extended XYZ):
```
12
Lattice="9.627 -2.065 0.000 9.627 2.065 0.000 -2.499 0.000 8.658" Properties=species:S:1:pos:R:3 pbc="T T T"
Pr -0.340 0.000 1.940
Pr 5.114 0.000 3.842
Pr 4.254 0.000 7.671
Pr 12.502 0.000 0.986
Pr 11.642 0.000 4.816
Pr 17.096 0.000 6.718
P 2.405 0.000 2.892
P 14.351 0.000 5.766
Pd 9.627 0.000 0.000
Br 1.104 0.000 7.157
Br 8.378 0.000 4.329
Br 15.651 0.000 1.500
```

Results
* E_form (uncorrected): -15.68 eV per formula unit
* volume: 344.2 Å³ per cell
* DOS at the Fermi energy: 6.7 states/eV per cell
* theoretical density: 6.05 g/cm³
* space-group type: C2/m

# 23
TlZn2H2: relaxed, PBE.

Structure (extended XYZ):
```
5
Lattice="-1.686 1.686 6.364 1.686 -1.686 6.364 1.686 1.686 -6.364" Properties=species:S:1:pos:R:3 pbc="T T T"
Tl 0.000 0.000 0.000
Zn 0.000 0.000 4.213
Zn 0.000 0.000 8.515
H 1.686 0.000 3.182
H 0.000 1.686 3.182
```

Results
* volume: 72.3 Å³ per cell
* DOS at the Fermi energy: 1.5 states/eV per cell
* final energy: -1.9775 eV/atom
* theoretical density: 7.74 g/cm³
* space-group type: I4/mmm

# 24
ReTcHg2: relaxed, PBE.

Structure (extended XYZ):
```
4
Lattice="1.456 0.840 9.528 -1.456 0.840 9.528 0.000 -1.681 9.528" Properties=species:S:1:pos:R:3 pbc="T T T"
Re 0.000 0.000 0.000
Tc 0.000 0.000 14.291
Hg 0.000 0.000 7.126
Hg 0.000 0.000 21.456
```

Results
* DFT formation energy: 0.831 eV per atom
* volume: 69.9 Å³ per cell
* DOS at the Fermi energy: 4.8 states/eV per cell
* theoretical density: 16.28 g/cm³
* space-group type: R-3m